The following is a DFT calculation (PBE) of Ac5CoHRh2 after structural relaxation.

Computed properties:
electronic total energy	-5.434	eV per atom
D(E_F)	0.67	states/eV per atom
space group	No. 36
calculated density	9.47	Mg/m³

abc: 9.2848 9.2848 12.9167
angles: 90.00 90.00 153.82
Atoms (fractional coordinates):
Ac 0.0022 0.9978 0.5000
Ac 0.1465 0.8535 0.7563
Ac 0.1929 0.8071 0.1040
Ac 0.2007 0.7993 0.4143
Ac 0.4589 0.5411 0.7468
Ac 0.5411 0.4589 0.2468
Ac 0.7993 0.2007 0.9143
Ac 0.8071 0.1929 0.6040
Ac 0.8535 0.1465 0.2563
Ac 0.9978 0.0022 0.0000
Co 0.3045 0.6955 0.7592
Co 0.6955 0.3045 0.2592
H 0.0617 0.9383 0.1621
H 0.9383 0.0617 0.6621
Rh 0.3813 0.6187 0.4412
Rh 0.3825 0.6175 0.0706
Rh 0.6175 0.3825 0.5706
Rh 0.6187 0.3813 0.9412